DFT (PBE) results for Li4BRh2 after structural relaxation.

Properties
Its total moment is 0.000 μB per formula unit. The symmetry is Cmmm (65). As for the crystal system: orthorhombic.

Unit cell a=5.649 b=5.649 c=3.011 alpha=90.00 beta=90.00 gamma=96.57
Fractional positions:
Li  0.000  0.500  0.500
Li  0.178  0.178  0.000
Li  0.500  0.000  0.500
Li  0.822  0.822  0.000
B  0.500  0.500  0.500
Rh  0.331  0.669  0.000
Rh  0.669  0.331  0.000

***

DFT (PBE) results for RbCaNb after structural relaxation.

Properties
Its total moment is 0.000 μB per formula unit. As for the polymorph energy (0 for the lowest one): 196.0 meV per atom. The symmetry is P2_1 (4). As for the crystal system: monoclinic.

Unit cell a=4.936 b=4.014 c=13.858 alpha=90.00 beta=100.16 gamma=90.00
Fractional positions:
Rb  0.172  0.000  0.348
Rb  0.828  0.500  0.652
Ca  0.444  0.998  0.888
Ca  0.556  0.498  0.112
Nb  0.029  0.997  0.058
Nb  0.971  0.497  0.942

***

Number 1: Fermi-level density of states 0.18 states/eV per atom, formation energy from the elements -224 meV/atom. Number 2: Fermi-level density of states 0.79 states/eV per atom, formation energy from the elements 541 meV/atom.